First-principles (PBE-GGA) data for crystalline NdTeO3 at its relaxed geometry, as listed in OQMD via LeMat-Bulk.

calculated density = 7.10 Mg/m³
spin magnetization = 0.000 μB/f.u.
energy = -31.73 eV per formula unit
SG = R-3, No. 148

Lattice parameters (Å, degrees): 5.6859 5.6859 5.6859 67.06 67.06 67.06
Fractional coordinates of all 10 atoms:
Nd: 0.2419 0.2419 0.2419
Nd: 0.7581 0.7581 0.7581
Te: 0.0000 0.0000 0.0000
Te: 0.5000 0.5000 0.5000
O: 0.1139 0.8101 0.3652
O: 0.1900 0.6348 0.8861
O: 0.3652 0.1139 0.8101
O: 0.6348 0.8861 0.1900
O: 0.8101 0.3652 0.1139
O: 0.8861 0.1900 0.6348



First-principles (PBE-GGA) data for crystalline Nd6TeO12 at its relaxed geometry, as listed in OQMD via LeMat-Bulk.

calculated density = 6.81 Mg/m³
spin magnetization = 0.002 μB/f.u.
energy = -147.60 eV per formula unit
SG = R-3, No. 148

Lattice parameters (Å, degrees): 6.6958 6.6958 6.6958 98.63 98.63 98.63
Fractional coordinates of all 19 atoms:
Nd: 0.1096 0.6447 0.8094
Nd: 0.1906 0.8904 0.3553
Nd: 0.3553 0.1906 0.8904
Nd: 0.6447 0.8094 0.1096
Nd: 0.8094 0.1096 0.6447
Nd: 0.8904 0.3553 0.1906
Te: 0.5000 0.5000 0.5000
O: 0.0604 0.3224 0.9074
O: 0.0926 0.9396 0.6776
O: 0.2097 0.5301 0.4329
O: 0.3224 0.9074 0.0604
O: 0.4329 0.2097 0.5301
O: 0.4699 0.5671 0.7903
O: 0.5301 0.4329 0.2097
O: 0.5671 0.7903 0.4699
O: 0.6776 0.0926 0.9396
O: 0.7903 0.4699 0.5671
O: 0.9074 0.0604 0.3224
O: 0.9396 0.6776 0.0926



First-principles (PBE-GGA) data for crystalline NdTlTeO at its relaxed geometry, as listed in OQMD via LeMat-Bulk.

calculated density = 5.72 Mg/m³
spin magnetization = 0.001 μB/f.u.
energy = -21.41 eV per formula unit
SG = Pmc2_1, No. 26

Lattice parameters (Å, degrees): 5.1082 8.1430 6.8725 90.00 90.00 90.00
Fractional coordinates of all 8 atoms:
Nd: 0.0000 0.1371 0.0000
Nd: 0.0000 0.8629 0.5000
Tl: 0.5000 0.2518 0.5808
Tl: 0.5000 0.7482 0.0808
Te: 0.5000 0.3393 0.0731
Te: 0.5000 0.6607 0.5731
O: 0.0000 0.0767 0.6914
O: 0.0000 0.9233 0.1914



First-principles (PBE-GGA) data for crystalline NdTmTeO2 at its relaxed geometry, as listed in OQMD via LeMat-Bulk.

calculated density = 7.99 Mg/m³
spin magnetization = 0.002 μB/f.u.
energy = -36.88 eV per formula unit
SG = I4mm, No. 107

Lattice parameters (Å, degrees): 3.9518 3.9518 12.5770 90.00 90.00 90.00
Fractional coordinates of all 10 atoms:
Nd: 0.0000 0.0000 0.0000
Nd: 0.5000 0.5000 0.5000
Tm: 0.0000 0.0000 0.6776
Tm: 0.5000 0.5000 0.1776
Te: 0.0000 0.0000 0.3406
Te: 0.5000 0.5000 0.8406
O: 0.0000 0.5000 0.0991
O: 0.0000 0.5000 0.5991
O: 0.5000 0.0000 0.0991
O: 0.5000 0.0000 0.5991



First-principles (PBE-GGA) data for crystalline NdYTeO2 at its relaxed geometry, as listed in OQMD via LeMat-Bulk.

calculated density = 6.47 Mg/m³
spin magnetization = 0.001 μB/f.u.
energy = -38.78 eV per formula unit
SG = I4mm, No. 107

Lattice parameters (Å, degrees): 3.9887 3.9887 12.6722 90.00 90.00 90.00
Fractional coordinates of all 10 atoms:
Nd: 0.0000 0.0000 0.0000
Nd: 0.5000 0.5000 0.5000
Y: 0.0000 0.0000 0.6790
Y: 0.5000 0.5000 0.1790
Te: 0.0000 0.0000 0.3405
Te: 0.5000 0.5000 0.8405
O: 0.0000 0.5000 0.0961
O: 0.0000 0.5000 0.5961
O: 0.5000 0.0000 0.0961
O: 0.5000 0.0000 0.5961



First-principles (PBE-GGA) data for crystalline NdTlO3 at its relaxed geometry, as listed in OQMD via LeMat-Bulk.

calculated density = 8.03 Mg/m³
spin magnetization = 0.002 μB/f.u.
energy = -31.15 eV per formula unit
SG = P4mm, No. 99

Lattice parameters (Å, degrees): 3.8654 3.8654 5.4862 90.00 90.00 90.00
Fractional coordinates of all 5 atoms:
Nd: 0.0000 0.0000 0.0000
Tl: 0.5000 0.5000 0.5580
O: 0.0000 0.5000 0.7589
O: 0.5000 0.0000 0.7589
O: 0.5000 0.5000 0.1717



First-principles (PBE-GGA) data for crystalline Nd2Tl2O5 at its relaxed geometry, as listed in OQMD via LeMat-Bulk.

calculated density = 8.00 Mg/m³
offset from the most stable computed form = 0 meV per atom
spin magnetization = 0.007 μB/f.u.
energy = -56.10 eV per formula unit
SG = P4/mmm, No. 123

Lattice parameters (Å, degrees): 4.2424 4.2424 8.9607 90.00 90.00 90.00
Fractional coordinates of all 9 atoms:
Nd: 0.0000 0.0000 0.2456
Nd: 0.0000 0.0000 0.7544
Tl: 0.5000 0.5000 0.0000
Tl: 0.5000 0.5000 0.5000
O: 0.0000 0.0000 0.5000
O: 0.0000 0.5000 0.1538
O: 0.0000 0.5000 0.8462
O: 0.5000 0.0000 0.1538
O: 0.5000 0.0000 0.8462



First-principles (PBE-GGA) data for crystalline NdTlO3 at its relaxed geometry, as listed in OQMD via LeMat-Bulk.

calculated density = 8.42 Mg/m³
spin magnetization = 0.000 μB/f.u.
energy = -31.51 eV per formula unit
SG = Pnma, No. 62

Lattice parameters (Å, degrees): 6.0359 8.7017 5.9549 90.00 90.00 90.00
Fractional coordinates of all 20 atoms:
Nd: 0.0000 0.0000 0.0000
Nd: 0.0000 0.5000 0.0000
Nd: 0.5000 0.0000 0.5000
Nd: 0.5000 0.5000 0.5000
Tl: 0.0396 0.2500 0.4957
Tl: 0.4604 0.7500 0.9957
Tl: 0.5396 0.2500 0.0043
Tl: 0.9604 0.7500 0.5043
O: 0.1242 0.7500 0.1380
O: 0.1656 0.5773 0.6611
O: 0.1656 0.9227 0.6611
O: 0.3344 0.0773 0.1611
O: 0.3344 0.4227 0.1611
O: 0.3758 0.2500 0.6380
O: 0.6242 0.7500 0.3620
O: 0.6656 0.5773 0.8389
O: 0.6656 0.9227 0.8389
O: 0.8344 0.0773 0.3389
O: 0.8344 0.4227 0.3389
O: 0.8758 0.2500 0.8620



First-principles (PBE-GGA) data for crystalline NdTlO3 at its relaxed geometry, as listed in OQMD via LeMat-Bulk.

calculated density = 8.06 Mg/m³
spin magnetization = 0.000 μB/f.u.
energy = -31.49 eV per formula unit
SG = R-3c, No. 167

Lattice parameters (Å, degrees): 6.2220 6.2220 6.2220 58.23 58.23 58.23
Fractional coordinates of all 10 atoms:
Nd: 0.0000 0.0000 0.0000
Nd: 0.5000 0.5000 0.5000
Tl: 0.2500 0.2500 0.2500
Tl: 0.7500 0.7500 0.7500
O: 0.0987 0.7500 0.4013
O: 0.2500 0.5987 0.9013
O: 0.4013 0.0987 0.7500
O: 0.5987 0.9013 0.2500
O: 0.7500 0.4013 0.0987
O: 0.9013 0.2500 0.5987



First-principles (PBE-GGA) data for crystalline NdTlO3 at its relaxed geometry, as listed in OQMD via LeMat-Bulk.

calculated density = 7.31 Mg/m³
spin magnetization = 0.246 μB/f.u.
energy = -29.48 eV per formula unit
SG = P4mm, No. 99

Lattice parameters (Å, degrees): 4.2616 4.2616 4.9582 90.00 90.00 90.00
Fractional coordinates of all 5 atoms:
Nd: 0.0000 0.0000 0.0000
Tl: 0.5000 0.5000 0.3820
O: 0.0000 0.0000 0.5495
O: 0.0000 0.5000 0.1670
O: 0.5000 0.0000 0.1670



First-principles (PBE-GGA) data for crystalline NdTlO3 at its relaxed geometry, as listed in OQMD via LeMat-Bulk.

calculated density = 7.13 Mg/m³
spin magnetization = 1.981 μB/f.u.
energy = -28.79 eV per formula unit
SG = Pm-3m, No. 221

Lattice parameters (Å, degrees): 4.5207 4.5207 4.5207 90.00 90.00 90.00
Fractional coordinates of all 5 atoms:
Nd: 0.0000 0.0000 0.0000
Tl: 0.5000 0.5000 0.5000
O: 0.0000 0.0000 0.5000
O: 0.0000 0.5000 0.0000
O: 0.5000 0.0000 0.0000



First-principles (PBE-GGA) data for crystalline NdTlO3 at its relaxed geometry, as listed in OQMD via LeMat-Bulk.

calculated density = 8.86 Mg/m³
spin magnetization = 0.000 μB/f.u.
energy = -31.29 eV per formula unit
SG = R-3c, No. 167

Lattice parameters (Å, degrees): 5.8268 5.8268 5.8268 62.84 62.84 62.84
Fractional coordinates of all 10 atoms:
Nd: 0.2500 0.2500 0.2500
Nd: 0.7500 0.7500 0.7500
Tl: 0.0000 0.0000 0.0000
Tl: 0.5000 0.5000 0.5000
O: 0.1246 0.7500 0.3754
O: 0.2500 0.6246 0.8754
O: 0.3754 0.1246 0.7500
O: 0.6246 0.8754 0.2500
O: 0.7500 0.3754 0.1246
O: 0.8754 0.2500 0.6246



spin magnetization of number 10 (NdTlO3)? 0.246 μB/f.u.



The highest energy belongs to which entry? NdTlTeO



Which value of calculated density does entry 12 give? 8.86 Mg/m³



Which value of spin magnetization does entry 11 give? 1.981 μB/f.u.